A relaxed structure of Pr2Dy2Sc7, computed with PBE.

The space group is C2/m (No. 12) and the conventional cell measures 10.699, 10.884 and 5.802 Å, with angles of 90.00, 113.52 and 90.00 degrees. The distinct sites, in fractional coordinates, are Pr at (0.241, 0.000, 0.089), Dy at (0.000, 0.224, 0.000), Sc at (0.000, 0.000, 0.500), Sc at (0.097, 0.500, 0.309) and Sc at (0.167, 0.232, 0.652).

The value obtained for the formation energy from the elements is 0.175 eV per atom.

A relaxed structure of Pr8Dy3Sc2, computed with PBE.

The space group is C2/m (No. 12) and the conventional cell measures 13.054, 11.806 and 6.131 Å, with angles of 90.00, 112.91 and 90.00 degrees. The distinct sites, in fractional coordinates, are Pr at (0.057, 0.000, 0.291), Pr at (0.150, 0.500, 0.569), Pr at (0.168, 0.250, 0.158), Dy at (0.000, 0.248, 0.500), Dy at (0.000, 0.500, 0.000) and Sc at (0.208, 0.000, 0.851).

For the energy above the most stable polymorph in this dataset, the calculation gives 0.000 kcal/mol of atoms. The value obtained for the formation energy from the elements is 0.163 eV per atom.

A relaxed structure of Pr3Dy5Sc2, computed with PBE.

The space group is P-1 (No. 2) and the conventional cell measures 9.345, 9.353 and 9.369 Å, with angles of 106.55, 106.58 and 115.33 degrees. The distinct sites, in fractional coordinates, are Pr at (0.082, 0.031, 0.351), Pr at (0.273, 0.424, 0.952), Pr at (0.322, 0.771, 0.849), Dy at (0.024, 0.675, 0.448), Dy at (0.132, 0.383, 0.251), Dy at (0.227, 0.075, 0.054), Dy at (0.381, 0.128, 0.748), Dy at (0.472, 0.822, 0.547), Sc at (0.173, 0.723, 0.150) and Sc at (0.429, 0.477, 0.644).

The value obtained for the formation energy from the elements is 0.044 eV per atom.

A relaxed structure of Pr6Dy2Sc, computed with PBE.

The space group is P4_2/mnm (No. 136) and the conventional cell measures 8.232, 8.232 and 10.511 Å, with angles of 90.00, 90.00 and 90.00 degrees. The distinct sites, in fractional coordinates, are Pr at (0.236, 0.236, 0.164), Pr at (0.245, 0.245, 0.500), Dy at (0.000, 0.000, 0.333) and Sc at (0.000, 0.000, 0.000).

For the energy above the most stable polymorph in this dataset, the calculation gives 12.393 kcal/mol of atoms. The value obtained for the formation energy from the elements is 0.573 eV per atom.

A relaxed structure of PrDySc6, computed with PBE.

The space group is Amm2 (No. 38) and the conventional cell measures 5.342, 6.813 and 11.798 Å, with angles of 90.00, 90.00 and 90.00 degrees. The distinct sites, in fractional coordinates, are Pr at (0.000, 0.000, 0.000), Dy at (0.500, 0.000, 0.667), Sc at (0.000, 0.000, 0.496), Sc at (0.000, 0.243, 0.252), Sc at (0.500, 0.000, 0.172) and Sc at (0.500, 0.242, 0.415).

The value obtained for the formation energy from the elements is 0.028 eV per atom.

A relaxed structure of Pr12Dy7Sc, computed with PBE.

The space group is R-3 (No. 148, hexagonal axes) and the conventional cell measures 15.2597, 15.2597 and 10.2340 Å, with angles of 90.00, 90.00 and 120.00 degrees. The distinct sites, in fractional coordinates, are Pr at (0.0427, 0.1948, 0.2516), Pr at (0.0442, 0.2510, 0.5737), Dy at (0.0000, 0.0000, 0.5000), Dy at (0.0674, 0.2411, 0.9270) and Sc at (0.0000, 0.0000, 0.0000).

For the energy above the most stable polymorph in this dataset, the calculation gives 0.000 kcal/mol of atoms. The value obtained for the formation energy from the elements is 0.146 eV per atom.

A relaxed structure of Pr6Dy2Sc3, computed with PBE.

The space group is P-1 (No. 2) and the conventional cell measures 6.134, 7.953 and 8.002 Å, with angles of 107.32, 97.71 and 104.98 degrees. The distinct sites, in fractional coordinates, are Pr at (0.049, 0.185, 0.410), Pr at (0.137, 0.546, 0.237), Pr at (0.324, 0.271, 0.867), Dy at (0.233, 0.914, 0.052), Sc at (0.413, 0.642, 0.680) and Sc at (0.500, 0.000, 0.500).

The value obtained for the formation energy from the elements is 0.051 eV per atom.

A relaxed structure of Pr2DySc8, computed with PBE.

The space group is C2/m (No. 12) and the conventional cell measures 8.682, 15.298 and 5.556 Å, with angles of 90.00, 124.70 and 90.00 degrees. The distinct sites, in fractional coordinates, are Pr at (0.000, 0.194, 0.000), Dy at (0.000, 0.500, 0.500), Sc at (0.000, 0.293, 0.500), Sc at (0.057, 0.000, 0.292) and Sc at (0.213, 0.384, 0.182).

The value obtained for the formation energy from the elements is 0.158 eV per atom.